# ScSb4Ir

A geometry-optimized ScSb4Ir structure (GGA-PBE, Alexandria).

Results
Density of states at the Fermi level (states/eV/cell): 21.0
VASP energy (eV per cell): -111.8
Density (Mg/m³): 7.91
E_form (uncorrected) (eV/atom): 0.62

a b c (Å): 8.472 8.472 8.472
angles (deg): 90.00 90.00 90.00
Space group F-43m (No. 216)
Unique sites:
Sc: 0.000 0.000 0.000 [4 per cell]
Sb: 0.125 0.125 0.375 [16 per cell]
Ir: 0.250 0.250 0.750 [4 per cell]

# ScSbIr

A geometry-optimized ScSbIr structure (GGA-PBE, Alexandria).

Results
Density of states at the Fermi level (states/eV/cell): 2.3
VASP energy (eV per cell): -21.4
Density (Mg/m³): 10.39
E_form (uncorrected) (eV/atom): -0.70

a b c (Å): 4.5434 4.5434 3.2091
angles (deg): 90.00 90.00 120.00
Space group P-6m2 (No. 187)
Unique sites:
Sc: 0.0000 0.0000 0.0000 [1 per cell]
Sb: 0.3333 0.6667 0.5000 [1 per cell]
Ir: 0.6667 0.3333 0.5000 [1 per cell]

# Sc2SbIr

A geometry-optimized Sc2SbIr structure (GGA-PBE, Alexandria).

Results
Density of states at the Fermi level (states/eV/cell): 14.7
VASP energy (eV per cell): -76.5
Density (Mg/m³): 7.95
E_form (uncorrected) (eV/atom): 0.03

a b c (Å): 3.1168 3.1168 30.0646
angles (deg): 90.00 90.00 120.00
Space group R-3m (No. 166, hexagonal axes)
Unique sites:
Sc: 0.0000 0.0000 0.0817 [6 per cell]
Sb: 0.0000 0.0000 0.5000 [3 per cell]
Ir: 0.0000 0.0000 0.0000 [3 per cell]

# Sc2SbIr

A geometry-optimized Sc2SbIr structure (GGA-PBE, Alexandria).

Results
Density of states at the Fermi level (states/eV/cell): 5.3
VASP energy (eV per cell): -56.7
Density (Mg/m³): 8.69
E_form (uncorrected) (eV/atom): -0.68

a b c (Å): 6.062 7.903 3.221
angles (deg): 90.00 90.00 90.00
Space group Cmmm (No. 65)
Unique sites:
Sc: 0.250 0.250 0.000 [4 per cell]
Sb: 0.000 0.000 0.500 [2 per cell]
Ir: 0.000 0.500 0.500 [2 per cell]

# Sc4SbIr

A geometry-optimized Sc4SbIr structure (GGA-PBE, Alexandria).

Results
Density of states at the Fermi level (states/eV/cell): 31.2
VASP energy (eV per cell): -150.2
Density (Mg/m³): 6.58
Offset from the most stable computed form (meV per atom): 843
E_form (uncorrected) (eV/atom): 0.13

a b c (Å): 7.928 7.928 7.928
angles (deg): 90.00 90.00 90.00
Space group F-43m (No. 216)
Unique sites:
Sc: 0.124 0.124 0.124 [16 per cell]
Sb: 0.000 0.000 0.500 [4 per cell]
Ir: 0.250 0.250 0.750 [4 per cell]

# Sc2Sb2Ir

A geometry-optimized Sc2Sb2Ir structure (GGA-PBE, Alexandria).

Results
Density of states at the Fermi level (states/eV/cell): 6.0
VASP energy (eV per cell): -59.6
Density (Mg/m³): 7.37
Offset from the most stable computed form (meV per atom): 549
E_form (uncorrected) (eV/atom): -0.01

a b c (Å): 3.937 3.937 15.284
angles (deg): 90.00 90.00 90.00
Space group I4/mmm (No. 139)
Unique sites:
Sc: 0.000 0.000 0.094 [4 per cell]
Sb: 0.000 0.500 0.250 [4 per cell]
Ir: 0.000 0.000 0.500 [2 per cell]